# HoLuTlTe3 (PBE, relaxed)
# Space group = C2/m, No. 12
# Relative energy among the computed polymorphs = 0 meV per atom
data_HoLuTlTe3
_space_group_name_H-M_alt 'P 1'
_space_group_IT_number 1
_space_group_name_Hall 'P 1'
_cell_length_a 9.6546
_cell_length_b 9.6546
_cell_length_c 10.0446
_cell_angle_alpha 102.65
_cell_angle_beta 102.65
_cell_angle_gamma 25.84
loop_
_atom_site_label
_atom_site_type_symbol
_atom_site_fract_x
_atom_site_fract_y
_atom_site_fract_z
_atom_site_occupancy
Lu1 Lu 0.5013 0.5013 0.7101 1
Te1 Te 0.3359 0.3359 0.2146 1
Te2 Te 0.6641 0.6641 0.7854 1
Te3 Te 0.3356 0.3356 0.6500 1
Te4 Te 0.5000 0.5000 0.0000 1
Te5 Te 0.0000 0.0000 0.5000 1
Ho1 Ho 0.1699 0.1699 0.5722 1
Te6 Te 0.6644 0.6644 0.3500 1
Lu2 Lu 0.4987 0.4987 0.2899 1
Tl1 Tl 0.1440 0.1440 0.0518 1
Ho2 Ho 0.8301 0.8301 0.4278 1
Tl2 Tl 0.8560 0.8560 0.9482 1